(1)
This record from Alexandria via LeMat-Bulk describes ReMo2Os after structural relaxation. The functional is PBE.

Lattice parameters (Å, degrees): 3.931 3.931 7.925 90.00 90.00 90.00
Element x y z (fractional)
Re  0.000  0.000  0.000
Re  0.500  0.500  0.500
Mo  0.000  0.000  0.500
Mo  0.000  0.500  0.750
Mo  0.500  0.000  0.250
Mo  0.500  0.500  0.000
Os  0.000  0.500  0.250
Os  0.500  0.000  0.750

Properties
ΔH_f (0 K)	0.600	eV per formula unit
V	15.31	Å³ per atom
crystal system	tetragonal
space group	I-4m2
raw total energy	-11.19	eV/atom

(2)
This record from Alexandria via LeMat-Bulk describes La2Zn5Pt after structural relaxation. The functional is PBE.

Lattice parameters (Å, degrees): 8.558 8.558 9.139 90.00 90.00 150.38
Element x y z (fractional)
La  0.000  0.000  0.000
La  0.000  0.000  0.500
La  0.192  0.808  0.750
La  0.808  0.192  0.250
Zn  0.189  0.811  0.111
Zn  0.189  0.811  0.389
Zn  0.346  0.654  0.017
Zn  0.346  0.654  0.483
Zn  0.399  0.601  0.750
Zn  0.601  0.399  0.250
Zn  0.654  0.346  0.517
Zn  0.654  0.346  0.983
Zn  0.811  0.189  0.611
Zn  0.811  0.189  0.889
Pt  0.444  0.556  0.250
Pt  0.556  0.444  0.750

Properties
ΔH_f (0 K)	-4.159	eV per formula unit
V	20.68	Å³ per atom
crystal system	orthorhombic
space group	Cmcm
raw total energy	-3.30	eV/atom

(3)
This record from Alexandria via LeMat-Bulk describes BeAlIN2 after structural relaxation. The functional is PBE.

Lattice parameters (Å, degrees): 3.704 3.704 5.511 90.00 90.00 90.00
Element x y z (fractional)
Be  0.000  0.000  0.000
Al  0.500  0.500  0.500
I  0.000  0.000  0.500
N  0.000  0.500  0.000
N  0.500  0.000  0.000

Properties
raw formation energy	1.345	eV per atom
E above lowest polymorph	467	meV/atom
V	15.12	Å³ per atom
crystal system	tetragonal
space group	P4/mmm
raw total energy	-3.79	eV/atom

(4)
This record from Alexandria via LeMat-Bulk describes NaSrSnBi after structural relaxation. The functional is PBE.

Lattice parameters (Å, degrees): 7.981 7.981 7.981 90.00 90.00 90.00
Element x y z (fractional)
Na  0.000  0.000  0.000
Na  0.000  0.500  0.500
Na  0.500  0.000  0.500
Na  0.500  0.500  0.000
Sr  0.000  0.000  0.500
Sr  0.000  0.500  0.000
Sr  0.500  0.000  0.000
Sr  0.500  0.500  0.500
Sn  0.250  0.250  0.250
Sn  0.250  0.750  0.750
Sn  0.750  0.250  0.750
Sn  0.750  0.750  0.250
Bi  0.250  0.250  0.750
Bi  0.250  0.750  0.250
Bi  0.750  0.250  0.250
Bi  0.750  0.750  0.750

Properties
ΔH_f (0 K)	-1.576	eV per formula unit
V	31.77	Å³ per atom
crystal system	cubic
space group	F-43m
raw total energy	-3.12	eV/atom

(5)
This record from Alexandria via LeMat-Bulk describes RbDyBi2 after structural relaxation. The functional is PBE.

Lattice parameters (Å, degrees): 4.516 4.516 27.375 90.00 90.00 120.00
Element x y z (fractional)
Rb  0.000  0.000  0.000
Rb  0.333  0.667  0.667
Rb  0.667  0.333  0.333
Dy  0.000  0.000  0.169
Dy  0.333  0.667  0.835
Dy  0.667  0.333  0.502
Bi  0.000  0.000  0.567
Bi  0.000  0.000  0.770
Bi  0.333  0.667  0.233
Bi  0.333  0.667  0.436
Bi  0.667  0.333  0.103
Bi  0.667  0.333  0.900

Properties
E above lowest polymorph	148	meV/atom
ΔH_f (0 K)	-1.405	eV per formula unit
V	40.29	Å³ per atom
crystal system	trigonal
space group	R3m
raw total energy	-3.68	eV/atom

(6)
This record from Alexandria via LeMat-Bulk describes La12Er6Cd after structural relaxation. The functional is PBE.

Lattice parameters (Å, degrees): 8.835 8.835 8.835 98.92 98.92 98.92
Element x y z (fractional)
La  0.001  0.260  0.740
La  0.167  0.581  0.581
La  0.260  0.740  0.001
La  0.260  0.999  0.740
La  0.419  0.419  0.833
La  0.419  0.833  0.419
La  0.581  0.167  0.581
La  0.581  0.581  0.167
La  0.740  0.001  0.260
La  0.740  0.260  0.999
La  0.833  0.419  0.419
La  0.999  0.740  0.260
Er  0.141  0.405  0.142
Er  0.142  0.141  0.405
Er  0.405  0.142  0.141
Er  0.595  0.858  0.859
Er  0.858  0.859  0.595
Er  0.859  0.595  0.858
Cd  0.000  0.000  0.000

Properties
ΔH_f (0 K)	2.035	eV per formula unit
V	34.83	Å³ per atom
crystal system	trigonal
space group	R-3
raw total energy	-4.49	eV/atom

(7)
This record from Alexandria via LeMat-Bulk describes BaSc2PdN after structural relaxation. The functional is PBE.

Lattice parameters (Å, degrees): 5.403 5.403 5.015 90.00 90.00 90.00
Element x y z (fractional)
Ba  0.000  0.000  0.000
Sc  0.000  0.500  0.000
Sc  0.500  0.000  0.000
Pd  0.000  0.000  0.500
N  0.500  0.500  0.500

Properties
raw formation energy	2.303	eV per atom
V	29.28	Å³ per atom
crystal system	tetragonal
space group	P4/mmm
raw total energy	-3.32	eV/atom

(8)
This record from Alexandria via LeMat-Bulk describes Hf3TiTc after structural relaxation. The functional is PBE.

Lattice parameters (Å, degrees): 4.768 4.768 4.768 90.00 90.00 90.00
Element x y z (fractional)
Hf  0.000  0.000  0.500
Hf  0.000  0.500  0.000
Hf  0.500  0.000  0.000
Ti  0.000  0.000  0.000
Tc  0.500  0.500  0.500

Properties
E above lowest polymorph	1360	meV/atom
ΔH_f (0 K)	6.123	eV per formula unit
V	21.68	Å³ per atom
crystal system	cubic
space group	Pm-3m
raw total energy	-8.40	eV/atom

(9)
This record from Alexandria via LeMat-Bulk describes SrPuTaO6 after structural relaxation. The functional is PBE.

Lattice parameters (Å, degrees): 5.593 5.593 10.508 90.00 90.00 120.00
Element x y z (fractional)
Sr  0.000  0.000  0.000
Sr  0.000  0.000  0.500
Pu  0.333  0.667  0.250
Pu  0.667  0.333  0.750
Ta  0.333  0.667  0.750
Ta  0.667  0.333  0.250
O  0.017  0.382  0.646
O  0.017  0.636  0.854
O  0.364  0.382  0.854
O  0.364  0.983  0.646
O  0.382  0.017  0.146
O  0.382  0.364  0.354
O  0.618  0.636  0.646
O  0.618  0.983  0.854
O  0.636  0.017  0.354
O  0.636  0.618  0.146
O  0.983  0.364  0.146
O  0.983  0.618  0.354

Properties
raw formation energy	-2.911	eV per atom
V	15.81	Å³ per atom
crystal system	trigonal
space group	P-31c
raw total energy	-9.31	eV/atom

(10)
This record from Alexandria via LeMat-Bulk describes Ac3La2Tl4Cd2 after structural relaxation. The functional is PBE.

Lattice parameters (Å, degrees): 5.165 5.165 16.372 90.00 90.00 120.00
Element x y z (fractional)
Ac  0.000  0.000  0.000
Ac  0.000  0.000  0.252
Ac  0.000  0.000  0.748
La  0.333  0.667  0.560
La  0.667  0.333  0.440
Tl  0.333  0.667  0.355
Tl  0.333  0.667  0.889
Tl  0.667  0.333  0.111
Tl  0.667  0.333  0.645
Cd  0.333  0.667  0.131
Cd  0.667  0.333  0.869

Properties
ΔH_f (0 K)	-2.601	eV per formula unit
V	34.39	Å³ per atom
crystal system	trigonal
space group	P-3m1
raw total energy	-3.28	eV/atom